Record 1
First-principles (PBE-GGA) data for a relaxed structure of TaBeSbI2, as listed in Alexandria.

Values from the calculation:
**V**: 33.5 Å³ per atom
**Energy above the lowest structure with this stoichiometry**: 0.000 eV per atom
**SG**: P4/mmm
**Energy relative to the elements, uncorrected**: 4.4 eV/f.u.

a b c (Å): 5.541 5.541 5.462
angles (deg): 90.00 90.00 90.00
Fractional positions:
Ta1 0.000 0.000 0.000
Be1 0.500 0.500 0.500
Sb1 0.000 0.000 0.500
I1 0.000 0.500 0.000
I2 0.500 0.000 0.000


Record 2
First-principles (PBE-GGA) data for a relaxed structure of PuAg2Bi2, as listed in Alexandria.

Values from the calculation:
**V**: 25.1 Å³ per atom
**SG**: Cmcm
**DFT formation energy**: -171 meV/atom

a b c (Å): 12.247 12.247 4.569
angles (deg): 90.00 90.00 158.51
Fractional positions:
Pu1 0.144 0.856 0.750
Pu2 0.856 0.144 0.250
Ag1 0.037 0.963 0.250
Ag2 0.463 0.537 0.250
Ag3 0.537 0.463 0.750
Ag4 0.963 0.037 0.750
Bi1 0.250 0.750 0.250
Bi2 0.381 0.619 0.750
Bi3 0.619 0.381 0.250
Bi4 0.750 0.250 0.750


Record 3
First-principles (PBE-GGA) data for a relaxed structure of ZnHSeN2, as listed in Alexandria.

Values from the calculation:
**V**: 16.7 Å³ per atom
**Energy above the lowest structure with this stoichiometry**: 0.117 eV per atom
**SG**: P4/mmm

a b c (Å): 3.794 3.794 5.804
angles (deg): 90.00 90.00 90.00
Fractional positions:
Zn1 0.000 0.000 0.000
H1 0.500 0.500 0.500
Se1 0.000 0.000 0.500
N1 0.000 0.500 0.000
N2 0.500 0.000 0.000


Record 4
First-principles (PBE-GGA) data for a relaxed structure of Sm3HgPb3, as listed in Alexandria.

Values from the calculation:
**V**: 29.4 Å³ per atom
**SG**: P6_3/m
**DFT formation energy**: -303 meV/atom

a b c (Å): 8.984 8.984 5.891
angles (deg): 90.00 90.00 120.00
Fractional positions:
Sm1 0.086 0.636 0.250
Sm2 0.364 0.450 0.250
Sm3 0.450 0.086 0.750
Sm4 0.550 0.914 0.250
Sm5 0.636 0.550 0.750
Sm6 0.914 0.364 0.750
Hg1 0.333 0.667 0.750
Hg2 0.667 0.333 0.250
Pb1 0.054 0.799 0.750
Pb2 0.201 0.256 0.750
Pb3 0.256 0.054 0.250
Pb4 0.744 0.946 0.750
Pb5 0.799 0.744 0.250
Pb6 0.946 0.201 0.250


Record 5
First-principles (PBE-GGA) data for a relaxed structure of Ho6In6Ga, as listed in Alexandria.

Values from the calculation:
**V**: 27.8 Å³ per atom
**SG**: P6/mmm
**DFT formation energy**: -265 meV/atom

a b c (Å): 6.333 6.333 10.395
angles (deg): 90.00 90.00 120.00
Fractional positions:
Ho1 0.000 0.000 0.195
Ho2 0.000 0.000 0.805
Ho3 0.333 0.667 0.000
Ho4 0.333 0.667 0.500
Ho5 0.667 0.333 0.000
Ho6 0.667 0.333 0.500
In1 0.000 0.500 0.250
In2 0.000 0.500 0.750
In3 0.500 0.000 0.250
In4 0.500 0.000 0.750
In5 0.500 0.500 0.250
In6 0.500 0.500 0.750
Ga1 0.000 0.000 0.500


Record 6
First-principles (PBE-GGA) data for a relaxed structure of Pr3Ge2Rh3, as listed in Alexandria.

Values from the calculation:
**V**: 21.9 Å³ per atom
**Energy above the lowest structure with this stoichiometry**: 0.065 eV per atom
**SG**: Cmcm
**DFT formation energy**: -782 meV/atom

a b c (Å): 5.732 5.732 15.326
angles (deg): 90.00 90.00 136.00
Fractional positions:
Pr1 0.078 0.922 0.607
Pr2 0.078 0.922 0.893
Pr3 0.365 0.635 0.750
Pr4 0.635 0.365 0.250
Pr5 0.922 0.078 0.107
Pr6 0.922 0.078 0.393
Ge1 0.210 0.790 0.104
Ge2 0.210 0.790 0.396
Ge3 0.790 0.210 0.604
Ge4 0.790 0.210 0.896
Rh1 0.337 0.663 0.250
Rh2 0.348 0.652 0.531
Rh3 0.348 0.652 0.969
Rh4 0.652 0.348 0.031
Rh5 0.652 0.348 0.469
Rh6 0.663 0.337 0.750


Record 7
First-principles (PBE-GGA) data for a relaxed structure of HoErCdCo, as listed in Alexandria.

Values from the calculation:
**V**: 21.9 Å³ per atom
**Energy above the lowest structure with this stoichiometry**: 0.000 eV per atom
**SG**: P4mm
**DFT formation energy**: -276 meV/atom

a b c (Å): 3.401 3.401 7.590
angles (deg): 90.00 90.00 90.00
Fractional positions:
Ho1 0.000 0.000 0.000
Er1 0.000 0.000 0.576
Cd1 0.500 0.500 0.289
Co1 0.500 0.500 0.786


Record 8
First-principles (PBE-GGA) data for a relaxed structure of CaPBr2, as listed in Alexandria.

Values from the calculation:
**V**: 38.9 Å³ per atom
**Energy above the lowest structure with this stoichiometry**: 0.266 eV per atom
**SG**: R-3m
**Energy relative to the elements, uncorrected**: -2.4 eV/f.u.

a b c (Å): 3.975 3.975 34.149
angles (deg): 90.00 90.00 120.00
Fractional positions:
Ca1 0.000 0.000 0.000
Ca2 0.333 0.667 0.667
Ca3 0.667 0.333 0.333
P1 0.000 0.000 0.500
P2 0.333 0.667 0.167
P3 0.667 0.333 0.833
Br1 0.000 0.000 0.383
Br2 0.000 0.000 0.617
Br3 0.333 0.667 0.050
Br4 0.333 0.667 0.283
Br5 0.667 0.333 0.717
Br6 0.667 0.333 0.950


Question: V of number 5 (Ho6In6Ga)?
Answer: 27.8 Å³ per atom